# PBE Sm2ThSc, relaxed
# Volume: 124 Å³/f.u.
# Formation energy: 0.29 eV per formula unit
# Calculated density: 7.72 g cm⁻³
# Energy: -5.72 eV per atom
data_Sm2ThSc
_cell_length_a 3.544
_cell_length_b 3.544
_cell_length_c 9.892
_cell_angle_alpha 90.00
_cell_angle_beta 90.00
_cell_angle_gamma 90.00
_symmetry_space_group_name_H-M 'P 4/m m m'
_symmetry_Int_Tables_number 123
_symmetry_space_group_name_Hall '-P 4 2'
loop_
_atom_site_label
_atom_site_type_symbol
_atom_site_fract_x
_atom_site_fract_y
_atom_site_fract_z
Sm1 Sm 0.000 0.000 0.244
Th1 Th 0.500 0.500 0.500
Sc1 Sc 0.500 0.500 0.000